Material: NiMo2Pt
Method: DFT, SCAN
State: PBEsol geometry

a = 2.653 Å, b = 4.618 Å, c = 4.831 Å
α = 97.82°, β = 90.00°, γ = 106.69°
Atoms (fractional coordinates):
Mo: 0.998 0.996 0.989
Mo: 0.755 0.510 0.272
Ni: 0.498 0.997 0.490
Pt: 0.249 0.498 0.748

Computed properties:
SG: Cm (8)
ΔE to the lowest computed polymorph, meV/atom: 109.9
Formation energy from the elements, eV per atom: -0.097

***

Material: NiMo2Pt
Method: DFT, SCAN
State: PBEsol geometry

a = 2.673 Å, b = 4.332 Å, c = 4.794 Å
α = 90.00°, β = 90.00°, γ = 90.00°
Atoms (fractional coordinates):
Ni: 0.500 0.000 0.541
Mo: 0.000 0.000 0.034
Mo: 0.000 0.500 0.704
Pt: 0.500 0.500 0.221

Computed properties:
SG: Pmm2 (25)
ΔE to the lowest computed polymorph, meV/atom: 0.0
Formation energy from the elements, eV per atom: -0.207

***

Material: NiMo2Pt
Method: DFT, SCAN
State: PBEsol geometry

a = 3.718 Å, b = 3.718 Å, c = 4.008 Å
α = 90.00°, β = 90.00°, γ = 90.00°
Atoms (fractional coordinates):
Ni: 0.500 0.500 0.500
Mo: 0.000 0.500 0.000
Mo: 0.500 0.000 0.000
Pt: 0.000 0.000 0.500

Computed properties:
SG: P4/mmm (123)
ΔE to the lowest computed polymorph, meV/atom: 22.8
Formation energy from the elements, eV per atom: -0.184

***

Material: Ni2MoPt
Method: DFT, SCAN
State: PBEsol geometry

a = 2.651 Å, b = 4.451 Å, c = 4.583 Å
α = 100.44°, β = 106.81°, γ = 90.00°
Atoms (fractional coordinates):
Ni: 0.996 0.996 0.993
Ni: 0.253 0.760 0.506
Mo: 0.747 0.241 0.494
Pt: 0.503 0.504 0.006

Computed properties:
SG: Cm (8)
Formation energy from the elements, eV per atom: -0.092

***

Material: Ni2MoPt
Method: DFT, SCAN
State: PBEsol geometry

a = 2.663 Å, b = 3.626 Å, c = 5.270 Å
α = 90.00°, β = 90.00°, γ = 90.00°
Atoms (fractional coordinates):
Ni: 0.000 0.000 0.740
Ni: 0.000 0.000 0.260
Mo: 0.500 0.500 0.500
Pt: 0.500 0.500 0.000

Computed properties:
SG: Pmmm (47)
Formation energy from the elements, eV per atom: -0.087

***

Material: NiMo2Pt
Method: DFT, SCAN
State: PBEsol geometry

a = 2.656 Å, b = 3.947 Å, c = 5.286 Å
α = 90.00°, β = 89.97°, γ = 90.00°
Atoms (fractional coordinates):
Ni: 0.500 0.500 0.000
Mo: 0.000 0.000 0.765
Mo: 0.000 0.000 0.235
Pt: 0.500 0.500 0.500

Computed properties:
SG: Pmmm (47)
ΔE to the lowest computed polymorph, meV/atom: 16.0
Formation energy from the elements, eV per atom: -0.191

***

no.,D(E_F) (states/eV per atom),E_tot (eV/atom)
1,0.832,-39.131
2,0.813,-39.241
3,0.839,-39.219
4,0.909,-34.449
5,0.797,-34.443
6,0.754,-39.225